No. 1
Density functional theory data (PBE) for K2Cu2SbTe4 after structural relaxation.

Cell: 4.254 8.486 8.489 Å, 110.97 90.00 104.52°
Element x y z (fractional)
K 0.133 0.265 0.549
K 0.867 0.735 0.451
Cu 0.302 0.603 0.007
Cu 0.698 0.397 0.993
Te 0.529 0.058 0.768
Te 0.800 0.600 0.816
Te 0.471 0.942 0.232
Te 0.200 0.400 0.184
Sb 0.000 0.000 0.000

magnetization	0.00	Bohr magnetons per cell
E_form (uncorrected)	-0.4494	eV/atom
space-group type	No. 12

No. 2
Density functional theory data (PBE) for SiAsCl after structural relaxation.

Cell: 4.453 4.453 4.453 Å, 60.00 60.00 60.00°
Element x y z (fractional)
Si 0.750 0.750 0.750
As 0.000 0.000 0.000
Cl 0.500 0.500 0.500

magnetization	0.00	Bohr magnetons per cell
energy relative to the lowest polymorph listed for this composition	2.31	eV/f.u.
E_form (uncorrected)	0.2487	eV/atom
space-group type	No. 216

No. 3
Density functional theory data (PBE) for Sc4Rh after structural relaxation.

Cell: 3.341 5.905 5.905 Å, 85.41 106.43 106.43°
Element x y z (fractional)
Sc 0.582 0.816 0.348
Sc 0.418 0.184 0.652
Sc 0.234 0.652 0.816
Sc 0.766 0.348 0.184
Rh 0.000 0.000 0.000

DFT formation energy	-0.406	eV/atom
magnetization	0.00	Bohr magnetons per cell
energy relative to the lowest polymorph listed for this composition	0.00	eV/f.u.
space-group type	No. 87

No. 4
Density functional theory data (PBE) for K2SrBiF8 after structural relaxation.

Cell: 4.014 6.297 8.240 Å, 90.00 90.00 90.04°
Element x y z (fractional)
K 0.500 0.500 0.742
K 0.500 0.500 0.258
F 0.500 0.230 0.500
F 0.000 0.211 0.216
F 0.500 0.807 0.000
F 0.500 0.770 0.500
F 0.000 0.789 0.784
F 0.000 0.211 0.784
F 0.500 0.193 0.000
F 0.000 0.789 0.216
Sr 0.000 0.000 0.500
Bi 0.000 0.000 0.000

magnetization	0.00	Bohr magnetons per cell
E_form (uncorrected)	-2.8092	eV/atom
space-group type	No. 47

No. 5
Density functional theory data (PBE) for Cr2Ir2Pb after structural relaxation.

Cell: 7.516 7.516 2.872 Å, 90.00 90.00 90.00°
Each line ends with the local moment (μB).
Element x y z (fractional)
Ir 0.130 0.370 0.000  -0.24
Ir 0.870 0.630 0.000  -0.24
Ir 0.370 0.870 0.000  -0.23
Ir 0.630 0.130 0.000  -0.23
Pb 0.500 0.500 0.000  -0.03
Pb 0.000 0.000 0.000  -0.03
Cr 0.838 0.338 0.500  2.13
Cr 0.662 0.838 0.500  2.15
Cr 0.338 0.162 0.500  2.15
Cr 0.162 0.662 0.500  2.13

DFT formation energy	0.231	eV/atom
magnetization	8.07	Bohr magnetons per cell
space-group type	No. 127

No. 6
Density functional theory data (PBE) for TiInF2 after structural relaxation.

Cell: 9.749 9.749 9.749 Å, 17.33 17.33 17.33°
Element x y z (fractional)
Ti 0.500 0.500 0.500
In 0.000 0.000 0.000
F 0.120 0.120 0.120
F 0.880 0.880 0.880

magnetization	0.00	Bohr magnetons per cell
energy relative to the lowest polymorph listed for this composition	0.00	eV/f.u.
E_form (uncorrected)	-1.8736	eV/atom
space-group type	No. 166

No. 7
Density functional theory data (PBE) for NbCuTc after structural relaxation.

Cell: 4.244 3.322 12.808 Å, 90.00 90.00 90.00°
Element x y z (fractional)
Nb 0.000 0.000 0.337
Nb 0.500 0.500 0.030
Nb 0.500 0.000 0.530
Nb 0.000 0.500 0.837
Tc 0.000 0.500 0.171
Tc 0.500 0.000 0.862
Tc 0.500 0.500 0.362
Tc 0.000 0.000 0.671
Cu 0.500 0.500 0.695
Cu 0.000 0.500 0.505
Cu 0.000 0.000 0.005
Cu 0.500 0.000 0.195

DFT formation energy	0.030	eV/atom
magnetization	0.00	Bohr magnetons per cell
energy relative to the lowest polymorph listed for this composition	0.05	eV/f.u.
space-group type	No. 38

No. 8
Density functional theory data (PBE) for SbTeW2 after structural relaxation.

Cell: 5.176 5.176 5.342 Å, 67.95 67.95 37.06°
Element x y z (fractional)
W 0.724 0.724 0.675
W 0.028 0.028 0.065
Sb 0.477 0.477 0.555
Te 0.272 0.272 0.206

magnetization	0.00	Bohr magnetons per cell
energy relative to the lowest polymorph listed for this composition	1.21	eV/f.u.
E_form (uncorrected)	0.5812	eV/atom
space-group type	No. 8

No. 9
Density functional theory data (PBE) for Ho2Ga2SnRh5 after structural relaxation.

Cell: 3.602 9.791 9.791 Å, 90.00 90.00 90.00°
Element x y z (fractional)
Ga 0.000 0.377 0.123
Ga 0.000 0.123 0.623
Ga 0.000 0.623 0.877
Ga 0.000 0.877 0.377
Sn 0.000 0.500 0.500
Sn 0.000 0.000 0.000
Rh 0.500 0.569 0.707
Rh 0.500 0.931 0.207
Rh 0.500 0.500 0.000
Rh 0.500 0.000 0.500
Rh 0.500 0.707 0.431
Rh 0.500 0.207 0.069
Rh 0.500 0.069 0.793
Rh 0.500 0.793 0.931
Rh 0.500 0.431 0.293
Rh 0.500 0.293 0.569
Ho 0.000 0.174 0.326
Ho 0.000 0.326 0.826
Ho 0.000 0.674 0.174
Ho 0.000 0.826 0.674

DFT formation energy	-0.845	eV/atom
magnetization	0.00	Bohr magnetons per cell
space-group type	No. 127

No. 10
Density functional theory data (PBE) for K2PrInSe4 after structural relaxation.

Cell: 8.808 8.808 8.909 Å, 120.38 120.38 90.72°
Element x y z (fractional)
Pr 0.000 0.500 0.500
Pr 0.000 0.500 0.000
Se 0.246 0.718 0.482
Se 0.218 0.746 0.982
Se 0.242 0.257 0.039
Se 0.758 0.743 0.961
Se 0.782 0.254 0.018
Se 0.243 0.258 0.461
Se 0.754 0.282 0.518
Se 0.757 0.742 0.539
K 0.500 0.500 0.000
K 0.500 0.000 0.000
K 0.000 0.000 0.500
K 0.500 0.000 0.500
In 0.500 0.500 0.500
In 0.000 0.000 0.000

magnetization	0.00	Bohr magnetons per cell
E_form (uncorrected)	-1.2337	eV/atom
space-group type	No. 74